1.
ZrSb2Cl | PBE | optimized geometry Values from VASP.

Magnetization: 0.0 μB/cell
Energy: -19.72 eV/f.u.
Space group: P4/mmm, No. 123
Energy relative to the elements, uncorrected: -1.08 eV per formula unit
Energy above the lowest structure with this stoichiometry: 0.386 eV/atom

Quantum ESPRESSO input file:
```
&SYSTEM
  ibrav = 0, nat = 4, ntyp = 3
/
ATOMIC_SPECIES
Cl 35.45 Cl.upf
Sb 121.76 Sb.upf
Zr 91.22 Zr.upf
ATOMIC_POSITIONS crystal
Cl 0.500 0.500 0.750
Sb 0.000 0.000 0.014
Zr 0.500 0.500 0.250
Sb 0.000 0.000 0.486
CELL_PARAMETERS angstrom
3.372 0.000 0.000
0.000 3.372 0.000
0.000 0.000 8.599
```

***

2.
LiHfZr2Rh4 | PBE | optimized geometry Values from VASP.

Magnetization: 0.0 μB/cell
DFT formation energy: -0.77 eV per atom
Energy: -64.51 eV/f.u.
Space group: R-3m, No. 166

Quantum ESPRESSO input file:
```
&SYSTEM
  ibrav = 0, nat = 8, ntyp = 4
/
ATOMIC_SPECIES
Rh 102.91 Rh.upf
Hf 178.49 Hf.upf
Li 6.94 Li.upf
Zr 91.22 Zr.upf
ATOMIC_POSITIONS crystal
Rh 0.629 0.629 0.114
Hf 0.000 0.000 0.000
Li 0.500 0.500 0.500
Rh 0.121 0.121 0.637
Rh 0.371 0.371 0.886
Zr 0.243 0.243 0.270
Zr 0.757 0.757 0.730
Rh 0.879 0.879 0.363
CELL_PARAMETERS angstrom
4.569 0.000 0.000
2.284 3.957 0.000
2.284 1.319 7.458
```

***

3.
NaSr2LaCu | PBE | optimized geometry Values from VASP.

Magnetization: 0.0 μB/cell
DFT formation energy: 0.08 eV per atom
Energy: -13.30 eV/f.u.
Space group: P4/mmm, No. 123

Quantum ESPRESSO input file:
```
&SYSTEM
  ibrav = 0, nat = 5, ntyp = 4
/
ATOMIC_SPECIES
Sr 87.62 Sr.upf
La 138.91 La.upf
Cu 63.55 Cu.upf
Na 22.99 Na.upf
ATOMIC_POSITIONS crystal
Sr 0.000 0.500 0.000
La 0.000 0.000 0.500
Cu 0.000 0.000 0.000
Na 0.500 0.500 0.500
Sr 0.500 0.000 0.000
CELL_PARAMETERS angstrom
6.168 0.000 0.000
0.000 6.168 0.000
0.000 0.000 5.546
```

***

4.
ZnCr2Cu | PBE | optimized geometry Values from VASP.

Magnetization: 0.0 μB/cell
DFT formation energy: 0.20 eV per atom
Energy: -23.81 eV/f.u.
Space group: Pm, No. 6

Quantum ESPRESSO input file:
```
&SYSTEM
  ibrav = 0, nat = 4, ntyp = 3
/
ATOMIC_SPECIES
Cu 63.55 Cu.upf
Zn 65.41 Zn.upf
Cr 52.00 Cr.upf
ATOMIC_POSITIONS crystal
Cu 0.000 0.467 0.503
Zn 0.500 0.780 0.744
Cr 0.500 0.194 0.230
Cr 0.000 0.059 0.023
CELL_PARAMETERS angstrom
-3.019 -1.467 -1.745
1.181 -2.196 -0.197
-1.067 -3.129 4.476
```

***

- The lowest energy belongs to which entry?
  LiHfZr2Rh4